(one)
A relaxed structure of CaCBr2. Source: Alexandria via LeMat-Bulk, functional PBE-GGA.

Values from the calculation:
symmetry: R-3m, No. 166
volume: 135 Å³/f.u.
DOS(E_F): 0.000 states/eV/f.u.

a = 8.360 Å, b = 8.360 Å, c = 8.360 Å
α = 30.71°, β = 30.71°, γ = 30.71°
Fractional coordinates of all 4 atoms:
Ca: 0.500 0.500 0.500
Br: 0.105 0.105 0.105
C: 0.000 0.000 0.000
Br: 0.895 0.895 0.895

***

(two)
A relaxed structure of CaCBr2. Source: Alexandria via LeMat-Bulk, functional PBE-GGA.

Values from the calculation:
symmetry: R-3m, No. 166
volume: 116 Å³/f.u.
DOS(E_F): 3.530 states/eV/f.u.

a = 8.521 Å, b = 8.521 Å, c = 8.521 Å
α = 27.43°, β = 27.43°, γ = 27.43°
Fractional coordinates of all 4 atoms:
Br: 0.114 0.114 0.114
Br: 0.886 0.886 0.886
C: 0.500 0.500 0.500
Ca: 0.000 0.000 0.000

***

Most favorable structure: (one). The second most favorable one is 0.712 eV/atom above it.

***

(one)
A relaxed structure of CaC3Br. Source: Alexandria via LeMat-Bulk, functional PBE-GGA.

Values from the calculation:
symmetry: Pm-3m, No. 221
volume: 120 Å³/f.u.
DOS(E_F): 5.133 states/eV/f.u.

a = 4.931 Å, b = 4.931 Å, c = 4.931 Å
α = 90.00°, β = 90.00°, γ = 90.00°
Fractional coordinates of all 5 atoms:
Ca: 0.000 0.000 0.000
Br: 0.500 0.500 0.500
C: 0.000 0.000 0.500
C: 0.500 0.000 0.000
C: 0.000 0.500 0.000

***

(two)
A relaxed structure of CaC3Br. Source: Alexandria via LeMat-Bulk, functional PBE-GGA.

Values from the calculation:
symmetry: Pm-3m, No. 221
volume: 72 Å³/f.u.
DOS(E_F): 4.757 states/eV/f.u.

a = 4.158 Å, b = 4.158 Å, c = 4.158 Å
α = 90.00°, β = 90.00°, γ = 90.00°
Fractional coordinates of all 5 atoms:
Br: 0.000 0.000 0.000
C: 0.500 0.000 0.000
Ca: 0.500 0.500 0.500
C: 0.000 0.000 0.500
C: 0.000 0.500 0.000

***

Most favorable structure: (two). The second most favorable one is 0.628 eV/atom above it.

***

(one)
A relaxed structure of CaC2Br2. Source: Alexandria via LeMat-Bulk, functional PBE-GGA.

Values from the calculation:
symmetry: P4/mbm, No. 127
volume: 97 Å³/f.u.
DOS(E_F): 1.957 states/eV/f.u.

a = 7.611 Å, b = 7.611 Å, c = 3.332 Å
α = 90.00°, β = 90.00°, γ = 90.00°
Fractional coordinates of all 10 atoms:
Ca: 0.000 0.000 0.000
Br: 0.649 0.149 0.000
Br: 0.851 0.649 0.000
C: 0.226 0.726 0.500
Br: 0.149 0.351 0.000
C: 0.274 0.226 0.500
Br: 0.351 0.851 0.000
Ca: 0.500 0.500 0.000
C: 0.774 0.274 0.500
C: 0.726 0.774 0.500

***

(two)
A relaxed structure of CaC2Br2. Source: Alexandria via LeMat-Bulk, functional PBE-GGA.

Values from the calculation:
symmetry: I4/mmm, No. 139
volume: 124 Å³/f.u.
DOS(E_F): 1.587 states/eV/f.u.

a = 3.198 Å, b = 3.198 Å, c = 12.318 Å
α = 82.54°, β = 82.54°, γ = 90.00°
Fractional coordinates of all 5 atoms:
Br: 0.574 0.574 0.851
C: 0.250 0.750 0.500
Ca: 0.000 0.000 0.000
Br: 0.426 0.426 0.149
C: 0.750 0.250 0.500

***

Most favorable structure: (two). The second most favorable one is 0.227 eV/atom above it.

***

(one)
A relaxed structure of CaPH6CBr3. Source: Alexandria via LeMat-Bulk, functional PBE-GGA.

Values from the calculation:
symmetry: Pm, No. 6
volume: 243 Å³/f.u.
DOS(E_F): 0.000 states/eV/f.u.

a = 4.488 Å, b = 11.431 Å, c = 18.935 Å
α = 89.96°, β = 90.00°, γ = 90.00°
Fractional coordinates of all 48 atoms:
H: 0.449 0.358 0.167
H: 0.001 0.060 0.231
H: 0.503 0.571 0.711
H: 0.051 0.358 0.167
Br: 0.250 0.732 0.974
C: 0.750 0.550 0.837
Ca: 0.250 0.184 0.932
Ca: 0.750 0.336 0.429
Ca: 0.750 0.878 0.023
H: 0.996 0.060 0.583
Br: 0.750 0.779 0.465
P: 0.250 0.520 0.102
C: 0.250 0.413 0.171
H: 0.750 0.396 0.732
C: 0.750 0.011 0.708
H: 0.750 0.885 0.586
H: 0.552 0.511 0.861
H: 0.997 0.571 0.711
H: 0.250 0.468 0.035
H: 0.750 0.645 0.844
Br: 0.750 0.021 0.895
C: 0.250 0.947 0.336
H: 0.250 0.027 0.369
Br: 0.250 0.196 0.486
Br: 0.250 0.496 0.389
Br: 0.250 0.757 0.650
H: 0.250 0.457 0.223
P: 0.750 0.000 0.613
Br: 0.250 0.039 0.065
H: 0.449 0.895 0.348
Ca: 0.250 0.640 0.516
H: 0.948 0.511 0.861
H: 0.750 0.103 0.724
H: 0.552 0.966 0.728
Br: 0.750 0.237 0.293
H: 0.504 0.060 0.583
P: 0.750 0.517 0.744
H: 0.499 0.060 0.231
H: 0.250 0.889 0.201
Br: 0.750 0.322 0.992
H: 0.948 0.966 0.728
H: 0.498 0.596 0.109
H: 0.002 0.596 0.109
Br: 0.250 0.286 0.796
Br: 0.750 0.480 0.562
Br: 0.750 0.773 0.160
P: 0.250 0.988 0.245
H: 0.051 0.895 0.348

***

(two)
A relaxed structure of CaPH6CBr3. Source: Alexandria via LeMat-Bulk, functional PBE-GGA.

Values from the calculation:
symmetry: P1, No. 1
volume: 243 Å³/f.u.
DOS(E_F): 0.000 states/eV/f.u.

a = 8.665 Å, b = 7.386 Å, c = 18.335 Å
α = 82.66°, β = 122.98°, γ = 97.75°
Fractional coordinates of all 48 atoms:
Ca: 0.504 0.413 0.256
Ca: 0.509 0.581 0.750
H: 0.861 0.589 0.155
Br: 0.655 0.374 0.680
Br: 0.348 0.686 0.110
Br: 0.194 0.306 0.679
H: 0.787 0.953 0.995
H: 0.985 0.279 0.795
H: 0.354 0.157 0.404
H: 0.660 0.688 0.474
H: 0.147 0.367 0.975
H: 0.280 0.409 0.858
H: 0.891 0.534 0.589
C: 0.842 0.851 0.625
Ca: 0.504 0.912 0.257
Br: 0.350 0.613 0.328
Br: 0.667 0.209 0.193
Br: 0.819 0.857 0.835
Br: 0.657 0.137 0.406
P: 0.837 0.711 0.550
H: 0.015 0.283 0.437
Br: 0.815 0.687 0.340
H: 0.978 0.845 0.686
H: 0.026 0.766 0.058
C: 0.157 0.299 0.452
H: 0.228 0.099 0.853
H: 0.103 0.123 0.971
H: 0.733 0.799 0.636
H: 0.194 0.443 0.439
P: 0.171 0.163 0.382
Br: 0.192 0.134 0.181
C: 0.822 0.728 0.127
H: 0.065 0.227 0.294
Br: 0.661 0.309 0.899
P: 0.842 0.777 0.035
H: 0.964 0.784 0.527
H: 0.729 0.649 0.972
Ca: 0.505 0.080 0.751
H: 0.678 0.738 0.107
Br: 0.349 0.853 0.604
H: 0.253 0.253 0.520
C: 0.191 0.241 0.968
P: 0.170 0.257 0.864
H: 0.336 0.225 0.020
Br: 0.354 0.782 0.823
H: 0.101 0.980 0.386
H: 0.821 0.991 0.596
H: 0.913 0.827 0.176

***

Most favorable structure: (two). The second most favorable one is 0.011 eV/atom above it.

***

(one)
A relaxed structure of CdC2Br. Source: Alexandria via LeMat-Bulk, functional PBE-GGA.

Values from the calculation:
symmetry: Fm-3m, No. 225
volume: 59 Å³/f.u.
DOS(E_F): 2.682 states/eV/f.u.

a = 4.379 Å, b = 4.379 Å, c = 4.379 Å
α = 60.00°, β = 60.00°, γ = 60.00°
Fractional coordinates of all 4 atoms:
C: 0.750 0.750 0.750
Br: 0.000 0.000 0.000
C: 0.250 0.250 0.250
Cd: 0.500 0.500 0.500

***

(two)
A relaxed structure of CdC2Br. Source: Alexandria via LeMat-Bulk, functional PBE-GGA.

Values from the calculation:
symmetry: I-42d, No. 122
volume: 70 Å³/f.u.
DOS(E_F): 0.819 states/eV/f.u.

a = 5.129 Å, b = 5.129 Å, c = 6.468 Å
α = 66.64°, β = 66.64°, γ = 90.00°
Fractional coordinates of all 8 atoms:
Br: 0.250 0.750 0.500
Cd: 0.750 0.250 0.500
C: 0.875 0.863 0.750
C: 0.137 0.625 0.250
Br: 0.500 0.500 0.000
Cd: 0.000 0.000 0.000
C: 0.375 0.387 0.750
C: 0.613 0.125 0.250

***

Most favorable structure: (two). The second most favorable one is 0.488 eV/atom above it.

***

(one)
A relaxed structure of CdCBr3. Source: Alexandria via LeMat-Bulk, functional PBE-GGA.

Values from the calculation:
symmetry: Pm-3m, No. 221
volume: 112 Å³/f.u.
DOS(E_F): 2.521 states/eV/f.u.

a = 4.817 Å, b = 4.817 Å, c = 4.817 Å
α = 90.00°, β = 90.00°, γ = 90.00°
Fractional coordinates of all 5 atoms:
Cd: 0.500 0.500 0.500
C: 0.000 0.000 0.000
Br: 0.000 0.500 0.000
Br: 0.500 0.000 0.000
Br: 0.000 0.000 0.500

***

(two)
A relaxed structure of CdCBr3. Source: Alexandria via LeMat-Bulk, functional PBE-GGA.

Values from the calculation:
symmetry: Pm-3m, No. 221
volume: 164 Å³/f.u.
DOS(E_F): 8.388 states/eV/f.u.

a = 5.477 Å, b = 5.477 Å, c = 5.477 Å
α = 90.00°, β = 90.00°, γ = 90.00°
Fractional coordinates of all 5 atoms:
Br: 0.500 0.000 0.000
Br: 0.000 0.000 0.500
C: 0.500 0.500 0.500
Br: 0.000 0.500 0.000
Cd: 0.000 0.000 0.000

***

Most favorable structure: (one). The second most favorable one is 0.383 eV/atom above it.

***

(one)
A relaxed structure of CdCSe2Br. Source: Alexandria via LeMat-Bulk, functional PBE-GGA.

Values from the calculation:
symmetry: P4/mmm, No. 123
volume: 147 Å³/f.u.
DOS(E_F): 7.585 states/eV/f.u.

a = 5.260 Å, b = 5.260 Å, c = 5.314 Å
α = 90.00°, β = 90.00°, γ = 90.00°
Fractional coordinates of all 5 atoms:
Br: 0.000 0.000 0.500
Cd: 0.000 0.000 0.000
Se: 0.000 0.500 0.000
C: 0.500 0.500 0.500
Se: 0.500 0.000 0.000

***

(two)
A relaxed structure of CdCSe2Br. Source: Alexandria via LeMat-Bulk, functional PBE-GGA.

Values from the calculation:
symmetry: P4/mmm, No. 123
volume: 134 Å³/f.u.
DOS(E_F): 2.677 states/eV/f.u.

a = 4.210 Å, b = 4.210 Å, c = 7.536 Å
α = 90.00°, β = 90.00°, γ = 90.00°
Fractional coordinates of all 5 atoms:
Se: 0.000 0.500 0.000
C: 0.000 0.000 0.000
Br: 0.000 0.000 0.500
Se: 0.500 0.000 0.000
Cd: 0.500 0.500 0.500

***

Most favorable structure: (two). The second most favorable one is 0.976 eV/atom above it.

***

(one)
A relaxed structure of CdCSeBr2. Source: Alexandria via LeMat-Bulk, functional PBE-GGA.

Values from the calculation:
symmetry: P4/mmm, No. 123
volume: 163 Å³/f.u.
DOS(E_F): 2.854 states/eV/f.u.

a = 5.437 Å, b = 5.437 Å, c = 5.531 Å
α = 90.00°, β = 90.00°, γ = 90.00°
Fractional coordinates of all 5 atoms:
Cd: 0.000 0.000 0.000
Br: 0.000 0.500 0.000
C: 0.500 0.500 0.500
Se: 0.000 0.000 0.500
Br: 0.500 0.000 0.000

***

(two)
A relaxed structure of CdCSeBr2. Source: Alexandria via LeMat-Bulk, functional PBE-GGA.

Values from the calculation:
symmetry: P4/mmm, No. 123
volume: 105 Å³/f.u.
DOS(E_F): 3.105 states/eV/f.u.

a = 4.847 Å, b = 4.847 Å, c = 4.468 Å
α = 90.00°, β = 90.00°, γ = 90.00°
Fractional coordinates of all 5 atoms:
Br: 0.000 0.500 0.000
C: 0.000 0.000 0.000
Se: 0.000 0.000 0.500
Cd: 0.500 0.500 0.500
Br: 0.500 0.000 0.000

***

Most favorable structure: (two). The second most favorable one is 0.563 eV/atom above it.

***

(one)
A relaxed structure of CoCBr2. Source: Alexandria via LeMat-Bulk, functional PBE-GGA.

Values from the calculation:
symmetry: R-3m, No. 166
volume: 85 Å³/f.u.
DOS(E_F): 4.221 states/eV/f.u.

a = 7.940 Å, b = 7.940 Å, c = 7.940 Å
α = 26.02°, β = 26.02°, γ = 26.02°
Fractional coordinates of all 4 atoms:
Co: 0.500 0.500 0.500
Br: 0.898 0.898 0.898
Br: 0.102 0.102 0.102
C: 0.000 0.000 0.000

***

(two)
A relaxed structure of CoCBr2. Source: Alexandria via LeMat-Bulk, functional PBE-GGA.

Values from the calculation:
symmetry: Fm-3m, No. 225
volume: 67 Å³/f.u.
DOS(E_F): 4.833 states/eV/f.u.

a = 4.566 Å, b = 4.566 Å, c = 4.566 Å
α = 60.00°, β = 60.00°, γ = 60.00°
Fractional coordinates of all 4 atoms:
C: 0.000 0.000 0.000
Br: 0.750 0.750 0.750
Br: 0.250 0.250 0.250
Co: 0.500 0.500 0.500

***

Most favorable structure: (one). The second most favorable one is 0.301 eV/atom above it.

***

(one)
A relaxed structure of CoPCBr. Source: Alexandria via LeMat-Bulk, functional PBE-GGA.

Values from the calculation:
symmetry: Pm, No. 6
volume: 77 Å³/f.u.
DOS(E_F): 2.945 states/eV/f.u.

a = 3.119 Å, b = 3.466 Å, c = 7.153 Å
α = 90.00°, β = 96.25°, γ = 90.00°
Fractional coordinates of all 4 atoms:
Co: 0.353 0.500 0.856
P: 0.729 0.000 0.040
Br: 0.346 0.500 0.537
C: 0.183 0.000 0.900

***

(two)
A relaxed structure of CoPCBr. Source: Alexandria via LeMat-Bulk, functional PBE-GGA.

Values from the calculation:
symmetry: Cm, No. 8
volume: 74 Å³/f.u.
DOS(E_F): 1.491 states/eV/f.u.

a = 3.522 Å, b = 2.998 Å, c = 14.067 Å
α = 90.00°, β = 94.51°, γ = 90.00°
Fractional coordinates of all 8 atoms:
Co: 0.823 0.000 0.157
Br: 0.862 0.000 0.528
Co: 0.823 0.500 0.657
P: 0.540 0.000 0.769
Br: 0.862 0.500 0.028
P: 0.540 0.500 0.269
C: 0.304 0.000 0.224
C: 0.304 0.500 0.724

***

Most favorable structure: (two). The second most favorable one is 0.119 eV/atom above it.

***

(one)
A relaxed structure of CoPCBr. Source: Alexandria via LeMat-Bulk, functional PBE-GGA.

Values from the calculation:
symmetry: P1, No. 1
volume: 68 Å³/f.u.
DOS(E_F): 0.795 states/eV/f.u.

a = 3.052 Å, b = 3.263 Å, c = 7.800 Å
α = 90.82°, β = 97.57°, γ = 117.89°
Fractional coordinates of all 4 atoms:
Br: 0.851 0.908 0.559
Co: 0.603 0.268 0.772
P: 0.456 0.836 0.978
C: 0.811 0.516 0.023

***

(two)
A relaxed structure of CoPCBr. Source: Alexandria via LeMat-Bulk, functional PBE-GGA.

Values from the calculation:
symmetry: Pm, No. 6
volume: 66 Å³/f.u.
DOS(E_F): 3.660 states/eV/f.u.

a = 3.390 Å, b = 3.025 Å, c = 6.619 Å
α = 90.00°, β = 104.59°, γ = 90.00°
Fractional coordinates of all 4 atoms:
P: 0.014 0.000 0.012
Br: 0.295 0.500 0.571
Co: 0.476 0.500 0.937
C: 0.075 0.500 0.148

***

(three)
A relaxed structure of CoPCBr. Source: Alexandria via LeMat-Bulk, functional PBE-GGA.

Values from the calculation:
symmetry: Cm, No. 8
volume: 68 Å³/f.u.
DOS(E_F): 2.153 states/eV/f.u.

a = 7.628 Å, b = 2.793 Å, c = 6.791 Å
α = 90.00°, β = 108.84°, γ = 90.00°
Fractional coordinates of all 8 atoms:
P: 0.952 0.000 0.483
P: 0.952 0.500 0.983
Co: 0.133 0.500 0.334
C: 0.105 0.500 0.616
Co: 0.133 0.000 0.834
Br: 0.477 0.500 0.470
Br: 0.477 0.000 0.970
C: 0.105 0.000 0.116

***

Most favorable structure: (one). The second most favorable one is 0.068 eV/atom above it.